No. 1
A relaxed structure of SrAgBiPd3, computed with PBE.

The calculation puts the energy relative to the elements at -27 kJ per mole of atoms.

Cell: 7.046 6.207 6.987 Å, 116.37 90.00 90.00°
Element x y z (fractional)
Ag 0.750 0.092 0.184
Ag 0.250 0.908 0.816
Pd 0.000 0.268 0.000
Pd 0.250 0.140 0.280
Pd 0.500 0.268 0.000
Pd 0.750 0.860 0.720
Pd 0.500 0.732 0.000
Pd 0.000 0.732 0.000
Bi 0.750 0.636 0.273
Bi 0.250 0.364 0.727
Sr 0.250 0.672 0.343
Sr 0.750 0.328 0.657



No. 2
A relaxed structure of Sr2Ag2BiPd5, computed with PBE.

The calculation puts the energy relative to the elements at -40 kJ per mole of atoms.

Cell: 4.027 10.204 10.204 Å, 90.00 90.00 90.00°
Element x y z (fractional)
Pd 0.500 0.941 0.203
Pd 0.500 0.703 0.441
Pd 0.500 0.441 0.297
Pd 0.500 0.297 0.559
Pd 0.500 0.059 0.797
Pd 0.500 0.797 0.941
Pd 0.500 0.203 0.059
Pd 0.500 0.500 0.000
Pd 0.500 0.000 0.500
Pd 0.500 0.559 0.703
Sr 0.000 0.328 0.828
Sr 0.000 0.672 0.172
Sr 0.000 0.828 0.672
Sr 0.000 0.172 0.328
Ag 0.000 0.126 0.626
Ag 0.000 0.626 0.874
Ag 0.000 0.374 0.126
Ag 0.000 0.874 0.374
Bi 0.000 0.500 0.500
Bi 0.000 0.000 0.000



No. 3
A relaxed structure of Sr2AgBi3Pd4, computed with PBE.

The calculation puts the energy relative to the elements at -52 kJ per mole of atoms.

Cell: 4.804 4.804 10.861 Å, 90.00 90.00 90.00°
Element x y z (fractional)
Sr 0.000 0.500 0.751
Sr 0.500 0.000 0.249
Ag 0.500 0.500 0.500
Bi 0.000 0.500 0.127
Bi 0.500 0.000 0.873
Bi 0.000 0.000 0.500
Pd 0.000 0.500 0.375
Pd 0.000 0.000 0.000
Pd 0.500 0.000 0.625
Pd 0.500 0.500 0.000



No. 4
A relaxed structure of TbAgBiPd, computed with PBE.

The calculation puts the energy relative to the elements at -47 kJ per mole of atoms.

Cell: 5.010 5.010 5.010 Å, 60.00 60.00 60.00°
Element x y z (fractional)
Pd 0.750 0.750 0.750
Tb 0.000 0.000 0.000
Bi 0.500 0.500 0.500
Ag 0.250 0.250 0.250



No. 5
A relaxed structure of TcAg2BiPd, computed with PBE.

The calculation puts the energy relative to the elements at 133 kJ per mole of atoms.

Cell: 5.239 5.103 5.239 Å, 90.00 90.00 90.00°
Each line ends with the local moment (μB).
Element x y z (fractional)
Tc 0.500 0.500 0.500  3.63
Ag 0.500 0.000 0.000  0.00
Ag 0.000 0.000 0.500  0.02
Pd 0.000 0.500 0.000  0.07
Bi 0.000 0.000 0.000  0.07



No. 6
A relaxed structure of AgBi2TePd, computed with PBE.

The formation energy from raw total energies is 3.416 eV/f.u.

Cell: 5.961 4.894 5.961 Å, 90.00 90.00 90.00°
Element x y z (fractional)
Ag 0.500 0.500 0.500
Bi 0.000 0.000 0.500
Bi 0.500 0.000 0.000
Te 0.000 0.000 0.000
Pd 0.000 0.500 0.000



No. 7
A relaxed structure of AgBi2Te2Pd7, computed with PBE.

The formation energy from raw total energies is -2.342 eV/f.u.

Cell: 4.123 4.123 15.536 Å, 79.16 79.16 90.09°
Element x y z (fractional)
Pd 0.407 0.907 0.131
Pd 0.216 0.216 0.418
Pd 0.784 0.784 0.582
Pd 0.500 0.500 0.000
Pd 0.907 0.407 0.131
Pd 0.593 0.093 0.869
Pd 0.093 0.593 0.869
Bi 0.724 0.724 0.409
Bi 0.276 0.276 0.591
Ag 0.000 0.000 0.000
Te 0.331 0.331 0.240
Te 0.669 0.669 0.760



No. 8
A relaxed structure of ThAgBiPd, computed with PBE.

The calculation puts the energy relative to the elements at -38 kJ per mole of atoms.

Cell: 5.107 5.107 5.107 Å, 60.00 60.00 60.00°
Element x y z (fractional)
Ag 0.250 0.250 0.250
Th 0.500 0.500 0.500
Pd 0.750 0.750 0.750
Bi 0.000 0.000 0.000



In eV/atom, the E_tot values for the records above are, in order, -4.276 -4.307 -4.397 -4.627 -3.652 -3.106 -4.632 -5.234.